1.
DFT (PBE) results for crystalline Er2Al2VRu5 at its relaxed geometry.

Values from the calculation:
* volume: 16.3 Å³ per atom
* ΔH_f (0 K): -412 meV per atom
* DOS(E_F): 0.885 states/eV/atom

extended XYZ file:
```
20
Lattice="10.025 0.000 0.000 0.000 10.025 0.000 0.000 0.000 3.234" Properties=species:S:1:pos:R:3 pbc="T T T"
Er 1.710 3.303 0.000
Er 3.303 8.315 0.000
Er 6.723 1.710 0.000
Er 8.315 6.723 0.000
Al 1.295 6.307 0.000
Al 3.718 1.295 0.000
Al 6.307 8.730 0.000
Al 8.730 3.718 0.000
V 0.000 0.000 0.000
V 5.013 5.013 0.000
Ru 0.000 5.013 1.617
Ru 0.642 8.091 1.617
Ru 1.934 0.642 1.617
Ru 3.078 5.654 1.617
Ru 4.371 3.078 1.617
Ru 5.013 0.000 1.617
Ru 5.654 6.947 1.617
Ru 6.947 4.371 1.617
Ru 8.091 9.383 1.617
Ru 9.383 1.934 1.617
```

---

2.
DFT (PBE) results for crystalline Er2AlS5 at its relaxed geometry.

Values from the calculation:
* formation energy (no corrections): -1.42 eV per atom
* volume: 24.8 Å³ per atom
* DOS(E_F): 0.265 states/eV/atom

extended XYZ file:
```
16
Lattice="2.629 -6.528 0.000 2.629 6.528 0.000 0.000 0.000 11.573" Properties=species:S:1:pos:R:3 pbc="T T T"
Er 2.629 4.507 6.567
Er 2.629 4.507 10.792
Er 2.629 -4.507 0.780
Er 2.629 -4.507 5.006
Al 2.629 4.014 2.893
Al 2.629 -4.014 8.680
S 2.629 6.004 1.506
S 2.629 6.004 4.280
S 2.629 2.847 8.680
S 2.629 2.518 1.078
S 2.629 2.518 4.709
S 2.629 -2.518 6.864
S 2.629 -2.518 10.495
S 2.629 -2.847 2.893
S 2.629 -6.004 7.293
S 2.629 -6.004 10.067
```

---

3.
DFT (PBE) results for crystalline Er2AlS at its relaxed geometry.

Values from the calculation:
* formation energy (no corrections): -1.05 eV per atom
* energy above the most stable polymorph in this dataset: 139 meV per atom
* volume: 23.3 Å³ per atom
* DOS(E_F): 0.648 states/eV/atom

extended XYZ file:
```
4
Lattice="1.848 1.067 7.888 -1.848 1.067 7.888 0.000 -2.133 7.888" Properties=species:S:1:pos:R:3 pbc="T T T"
Er 0.000 0.000 0.000
Er 0.000 0.000 4.559
Al 0.000 0.000 10.164
S 0.000 0.000 14.137
```

---

4.
DFT (PBE) results for crystalline Er2AlS at its relaxed geometry.

Values from the calculation:
* formation energy (no corrections): -1.19 eV per atom
* energy above the most stable polymorph in this dataset: 0 meV per atom
* volume: 22.3 Å³ per atom
* DOS(E_F): 0.410 states/eV/atom

extended XYZ file:
```
8
Lattice="1.960 -11.060 0.000 1.960 11.060 0.000 0.000 0.000 4.116" Properties=species:S:1:pos:R:3 pbc="T T T"
Er 1.960 9.432 3.087
Er 1.960 4.068 3.087
Er 1.960 -4.068 1.029
Er 1.960 -9.432 1.029
Al 1.960 0.840 3.087
Al 1.960 -0.840 1.029
S 1.960 6.755 3.087
S 1.960 -6.755 1.029
```

---

5.
DFT (PBE) results for crystalline ErAl6S8 at its relaxed geometry.

Values from the calculation:
* formation energy (no corrections): -0.83 eV per atom
* volume: 19.5 Å³ per atom
* DOS(E_F): 0.663 states/eV/atom

extended XYZ file:
```
15
Lattice="4.858 2.805 3.574 -4.858 2.805 3.574 0.000 -5.610 3.574" Properties=species:S:1:pos:R:3 pbc="T T T"
Er 0.000 0.000 0.000
Al -1.771 0.507 4.291
Al 0.446 -1.787 4.291
Al -1.324 -1.280 6.433
Al 1.324 1.280 4.291
Al -0.446 1.787 6.433
Al 1.771 -0.507 6.433
S -1.391 -3.155 4.486
S -3.427 -0.373 6.237
S 0.000 0.000 2.815
S -2.037 2.782 4.486
S 2.037 -2.782 6.237
S 0.000 0.000 7.908
S 3.427 0.373 4.486
S 1.391 3.155 6.237
```

---

6.
DFT (PBE) results for crystalline Er5AlS4 at its relaxed geometry.

Values from the calculation:
* formation energy (no corrections): -1.60 eV per atom
* volume: 21.6 Å³ per atom
* DOS(E_F): 0.368 states/eV/atom

extended XYZ file:
```
10
Lattice="6.597 -1.926 0.000 6.597 1.926 0.000 -4.905 0.000 8.504" Properties=species:S:1:pos:R:3 pbc="T T T"
Er 0.000 0.000 0.000
Er -1.322 0.000 6.844
Er 2.211 0.000 5.134
Er 6.078 0.000 3.370
Er 9.612 0.000 1.659
Al -2.452 0.000 4.252
S 1.205 0.000 2.467
S 4.817 0.000 0.809
S 3.473 0.000 7.695
S 7.085 0.000 6.036
```

---

7.
DFT (PBE) results for crystalline Er6AlS5 at its relaxed geometry.

Values from the calculation:
* formation energy (no corrections): -1.65 eV per atom
* volume: 21.5 Å³ per atom
* DOS(E_F): 0.389 states/eV/atom

extended XYZ file:
```
12
Lattice="3.417 -5.883 0.000 3.417 5.883 0.000 -2.252 0.000 6.413" Properties=species:S:1:pos:R:3 pbc="T T T"
Er 0.009 1.984 4.799
Er 1.122 0.000 1.609
Er 0.009 -1.984 4.799
Er 4.574 1.984 1.614
Er 3.461 0.000 4.804
Er 4.574 -1.984 1.614
Al 3.417 0.000 0.000
S -1.126 0.000 3.206
S 3.417 3.924 0.000
S 2.291 1.965 3.206
S 2.291 -1.965 3.206
S 3.417 -3.924 0.000
```

---

8.
DFT (PBE) results for crystalline ErAl2S4 at its relaxed geometry.

Values from the calculation:
* formation energy (no corrections): -1.22 eV per atom
* energy above the most stable polymorph in this dataset: 0 meV per atom
* volume: 22.5 Å³ per atom
* DOS(E_F): 0.344 states/eV/atom

extended XYZ file:
```
14
Lattice="0.000 6.786 3.828 6.075 0.000 3.828 6.075 6.786 0.000" Properties=species:S:1:pos:R:3 pbc="T T T"
Er 0.000 0.000 0.000
Er 3.037 3.393 1.914
Al 5.312 4.558 3.944
Al 9.874 7.951 5.858
Al 6.837 9.014 3.944
Al 8.349 12.407 5.858
S 7.610 7.853 2.051
S 7.564 4.625 3.910
S 4.573 2.326 3.965
S 4.539 5.719 2.051
S 7.576 11.246 3.965
S 7.622 8.018 5.824
S 4.585 8.947 3.910
S 4.527 5.554 5.824
```

---

Number 1: M_tot 0.00 μB per cell. Number 2: M_tot 0.88 μB per cell. Number 3: M_tot 0.00 μB per cell. Number 4: M_tot 0.00 μB per cell. Number 5: M_tot 0.19 μB per cell. Number 6: M_tot 0.00 μB per cell. Number 7: M_tot 0.00 μB per cell. Number 8: M_tot 0.00 μB per cell.